Entry from the Alexandria database: a relaxed structure of FeSeO4 (PBE+U).

Lattice parameters (Å, degrees): 5.695 6.998 5.858 126.68 119.09 90.00
Each line ends with the local moment (μB).
Atoms (fractional coordinates):
Se: 0.397 0.647 0.794  0.02
Se: 0.603 0.353 0.206  0.02
O: 0.733 0.231 0.962  0.04
O: 0.278 0.326 0.555  0.02
O: 0.771 0.769 0.038  0.04
O: 0.722 0.674 0.445  0.02
O: 0.278 0.729 0.555  0.02
O: 0.267 0.769 0.038  0.04
O: 0.722 0.271 0.445  0.02
O: 0.229 0.231 0.962  0.04
Fe: 0.000 0.000 0.000  3.79
Fe: 0.000 0.500 0.000  3.79

Values from the calculation:
For the total magnetization, the calculation gives 4.0 μB per formula unit. As for the symmetry: Imma. Its total energy is -0.4202 Ry/atom.